[1]
Here is VZnSi2 after structural relaxation from the Alexandria database. Energies are from PBE-GGA.

CIF file:
```
data_VZnSi2
_chemical_formula_sum 'V4 Zn4 Si8'
_symmetry_space_group_name_H-M 'I -4 2 d'
_symmetry_Int_Tables_number 122
_symmetry_space_group_name_Hall 'I -4 2bw'
_cell_length_a 6.8723
_cell_length_b 6.8723
_cell_length_c 5.1907
_cell_angle_alpha 90.00
_cell_angle_beta 90.00
_cell_angle_gamma 90.00
loop_
_atom_site_label
_atom_site_fract_x
_atom_site_fract_y
_atom_site_fract_z
V1 0.0000 0.0000 0.0000
Zn1 0.0000 0.0000 0.5000
Si1 0.2448 0.2500 0.6250
```

Values from the calculation:
The crystal system is tetragonal. The value obtained for the size of the total moment is 3.860 μB/cell. As for the theoretical density: 4.67 g/cm³. The value obtained for the formation energy (no corrections) is 0.41 eV per atom.

---

[2]
Here is ZnFe3Pd6 after structural relaxation from the Alexandria database. Energies are from PBE-GGA.

CIF file:
```
data_ZnFe3Pd6
_chemical_formula_sum 'Zn2 Fe6 Pd12'
_symmetry_space_group_name_H-M 'P 1 21/m 1'
_symmetry_Int_Tables_number 11
_cell_length_a 7.2691
_cell_length_b 4.4420
_cell_length_c 9.6412
_cell_angle_alpha 90.00
_cell_angle_beta 112.10
_cell_angle_gamma 90.00
loop_
_symmetry_equiv_pos_as_xyz
'x,y,z'
'-x,-y,-z'
'-x,y+1/2,-z'
'x,-y+1/2,z'
loop_
_atom_site_label
_atom_site_fract_x
_atom_site_fract_y
_atom_site_fract_z
Zn1 0.1194 0.2500 0.0818
Fe1 0.1066 0.7500 0.7156
Fe2 0.2964 0.7500 0.5316
Fe3 0.3302 0.2500 0.8673
Pd1 0.0601 0.7500 0.2128
Pd2 0.1058 0.2500 0.5742
Pd3 0.2675 0.7500 0.0101
Pd4 0.2909 0.2500 0.3702
Pd5 0.4850 0.7500 0.3271
Pd6 0.4961 0.7500 0.8351
```

Values from the calculation:
The crystal system is monoclinic. The value obtained for the size of the total moment is 21.854 μB/cell. As for the theoretical density: 10.03 g/cm³. The formation energy comes out at -0.15 eV/atom.

---

[3]
Here is BeCu2W after structural relaxation from the Alexandria database. Energies are from PBE-GGA.

CIF file:
```
data_BeCu2W
_chemical_formula_sum 'Be1 Cu2 W1'
_symmetry_space_group_name_H-M 'P 4 m m'
_symmetry_Int_Tables_number 99
_cell_length_a 2.6755
_cell_length_b 2.6755
_cell_length_c 6.7231
_cell_angle_alpha 90.00
_cell_angle_beta 90.00
_cell_angle_gamma 90.00
loop_
_symmetry_equiv_pos_as_xyz
'x,y,z'
'-y,x,z'
'-x,-y,z'
'y,-x,z'
'-x,y,z'
'y,x,z'
'x,-y,z'
'-y,-x,z'
loop_
_atom_site_label
_atom_site_fract_x
_atom_site_fract_y
_atom_site_fract_z
Be1 0.0000 0.0000 0.0000
Cu1 0.0000 0.0000 0.4530
Cu2 0.5000 0.5000 0.1927
W1 0.5000 0.5000 0.7449
```

Values from the calculation:
The crystal system is tetragonal. The value obtained for the size of the total moment is 0.000 μB/cell. As for the theoretical density: 11.04 g/cm³. The formation energy comes out at 0.07 eV/atom.

---

[4]
Here is Er4HfRh5 after structural relaxation from the Alexandria database. Energies are from PBE-GGA.

CIF file:
```
data_Er4HfRh5
_chemical_formula_sum 'Er4 Hf1 Rh5'
_symmetry_space_group_name_H-M 'P 4/m m m'
_symmetry_Int_Tables_number 123
_symmetry_space_group_name_Hall '-P 4 2'
_cell_length_a 3.3347
_cell_length_b 3.3347
_cell_length_c 17.2302
_cell_angle_alpha 90.00
_cell_angle_beta 90.00
_cell_angle_gamma 90.00
loop_
_atom_site_label
_atom_site_fract_x
_atom_site_fract_y
_atom_site_fract_z
Er1 0.0000 0.0000 0.1011
Er2 0.0000 0.0000 0.3032
Hf1 0.0000 0.0000 0.5000
Rh1 0.5000 0.5000 0.0000
Rh2 0.5000 0.5000 0.2036
Rh3 0.5000 0.5000 0.4112
```

Values from the calculation:
The crystal system is tetragonal. The value obtained for the size of the total moment is 0.000 μB/cell. As for the theoretical density: 11.80 g/cm³. The formation energy comes out at -0.93 eV/atom.

---

[5]
Here is Rb4HBrCl2 after structural relaxation from the Alexandria database. Energies are from PBE-GGA.

CIF file:
```
data_Rb4HBrCl2
_chemical_formula_sum 'Rb4 H1 Br1 Cl2'
_symmetry_space_group_name_H-M 'P 1 2/m 1'
_symmetry_Int_Tables_number 10
_cell_length_a 8.1710
_cell_length_b 4.7220
_cell_length_c 8.1902
_cell_angle_alpha 90.00
_cell_angle_beta 109.36
_cell_angle_gamma 90.00
loop_
_symmetry_equiv_pos_as_xyz
'x,y,z'
'-x,-y,-z'
'-x,y,-z'
'x,-y,z'
loop_
_atom_site_label
_atom_site_fract_x
_atom_site_fract_y
_atom_site_fract_z
Rb1 0.2449 0.0000 0.2375
Rb2 0.2508 0.5000 0.7646
H1 0.0000 0.5000 0.0000
Br1 0.0000 0.0000 0.5000
Cl1 0.5000 0.0000 0.0000
Cl2 0.5000 0.5000 0.5000
```

Values from the calculation:
The crystal system is monoclinic. The value obtained for the size of the total moment is 0.037 μB/cell. As for the theoretical density: 2.75 g/cm³. As for the energy: -3.006 eV/atom.

---

[6]
Here is RbNaCa2S after structural relaxation from the Alexandria database. Energies are from PBE-GGA.

CIF file:
```
data_RbNaCa2S
_chemical_formula_sum 'Rb1 Na1 Ca2 S1'
_symmetry_space_group_name_H-M 'P 4/m m m'
_symmetry_Int_Tables_number 123
_symmetry_space_group_name_Hall '-P 4 2'
_cell_length_a 5.5136
_cell_length_b 5.5136
_cell_length_c 6.8750
_cell_angle_alpha 90.00
_cell_angle_beta 90.00
_cell_angle_gamma 90.00
loop_
_atom_site_label
_atom_site_fract_x
_atom_site_fract_y
_atom_site_fract_z
Rb1 0.0000 0.0000 0.0000
Na1 0.5000 0.5000 0.0000
Ca1 0.0000 0.5000 0.5000
S1 0.5000 0.5000 0.5000
```

Values from the calculation:
The crystal system is tetragonal. The value obtained for the size of the total moment is 0.000 μB/cell. As for the theoretical density: 1.75 g/cm³. The value obtained for the formation energy (no corrections) is -0.54 eV per atom.

---

[7]
Here is LiLaHoCu after structural relaxation from the Alexandria database. Energies are from PBE-GGA.

CIF file:
```
data_LiLaHoCu
_chemical_formula_sum 'Li4 La4 Ho4 Cu4'
_symmetry_space_group_name_H-M 'F -4 3 m'
_symmetry_Int_Tables_number 216
_symmetry_space_group_name_Hall 'F -4 2 3'
_cell_length_a 7.2927
_cell_length_b 7.2927
_cell_length_c 7.2927
_cell_angle_alpha 90.00
_cell_angle_beta 90.00
_cell_angle_gamma 90.00
loop_
_atom_site_label
_atom_site_fract_x
_atom_site_fract_y
_atom_site_fract_z
Li1 0.0000 0.0000 0.0000
La1 0.2500 0.2500 0.2500
Ho1 0.2500 0.2500 0.7500
Cu1 0.0000 0.0000 0.5000
```

Values from the calculation:
The crystal system is cubic. The value obtained for the size of the total moment is 0.020 μB/cell. As for the theoretical density: 6.41 g/cm³. The formation energy comes out at 0.01 eV/atom.

---

[8]
Here is TbCoNi after structural relaxation from the Alexandria database. Energies are from PBE-GGA.

CIF file:
```
data_TbCoNi
_chemical_formula_sum 'Tb4 Co4 Ni4'
_symmetry_space_group_name_H-M 'I m m a'
_symmetry_Int_Tables_number 74
_symmetry_space_group_name_Hall '-I 2b 2'
_cell_length_a 4.9471
_cell_length_b 5.1013
_cell_length_c 7.3302
_cell_angle_alpha 90.00
_cell_angle_beta 90.00
_cell_angle_gamma 90.00
loop_
_atom_site_label
_atom_site_fract_x
_atom_site_fract_y
_atom_site_fract_z
Tb1 0.0000 0.2500 0.1223
Co1 0.2500 0.2500 0.7500
Ni1 0.0000 0.0000 0.5000
```

Values from the calculation:
The crystal system is orthorhombic. The value obtained for the size of the total moment is 3.716 μB/cell. As for the theoretical density: 9.93 g/cm³. The formation energy comes out at -0.29 eV/atom.

---

Q: What is the formula in the fourth record?
A: Er4HfRh5